(1)
# PBE-GGA SrLaW3, optimized geometry
# Total magnetization ... 0.192 μB per formula unit
# Energy of formation ... 2.4652 eV/atom
# Polymorph energy (0 for the lowest one) ... 0.0000 eV/atom
data_SrLaW3
_chemical_formula_sum 'Sr1 La1 W3'
_cell_length_a 5.0241
_cell_length_b 5.0241
_cell_length_c 5.0241
_cell_angle_alpha 90.00
_cell_angle_beta 90.00
_cell_angle_gamma 90.00
_symmetry_space_group_name_H-M 'P m -3 m'
_symmetry_Int_Tables_number 221
_symmetry_space_group_name_Hall '-P 4 2 3'
loop_
_atom_site_label
_atom_site_type_symbol
_atom_site_fract_x
_atom_site_fract_y
_atom_site_fract_z
_atom_site_occupancy
Sr1 Sr 0.0000 0.0000 0.0000 1
La1 La 0.5000 0.5000 0.5000 1
W1 W 0.0000 0.5000 0.5000 1

***

(2)
# PBE-GGA La3Hg11, optimized geometry
# Total magnetization ... 0.000 μB per formula unit
# Energy of formation ... -0.3036 eV/atom
data_La3Hg11
_chemical_formula_sum 'La6 Hg22'
_cell_length_a 5.1471
_cell_length_b 9.7880
_cell_length_c 14.6032
_cell_angle_alpha 90.00
_cell_angle_beta 90.00
_cell_angle_gamma 90.00
_symmetry_space_group_name_H-M 'I m m m'
_symmetry_Int_Tables_number 71
_symmetry_space_group_name_Hall '-I 2 2'
loop_
_atom_site_label
_atom_site_type_symbol
_atom_site_fract_x
_atom_site_fract_y
_atom_site_fract_z
_atom_site_occupancy
La1 La 0.0000 0.0000 0.0000 1
La2 La 0.0000 0.0000 0.2921 1
Hg1 Hg 0.0000 0.1654 0.5000 1
Hg2 Hg 0.0000 0.2849 0.1480 1
Hg3 Hg 0.0000 0.3584 0.3490 1
Hg4 Hg 0.0000 0.5000 0.0000 1

***

(3)
# PBE-GGA Ac6Ag2Pt3, optimized geometry
# Total magnetization ... 0.000 μB per formula unit
# Energy of formation ... -0.7364 eV/atom
data_Ac6Ag2Pt3
_chemical_formula_sum 'Ac12 Ag4 Pt6'
_cell_length_a 7.7338
_cell_length_b 13.3946
_cell_length_c 7.8997
_cell_angle_alpha 90.00
_cell_angle_beta 109.05
_cell_angle_gamma 90.00
_symmetry_space_group_name_H-M 'C 1 2/m 1'
_symmetry_Int_Tables_number 12
loop_
_symmetry_equiv_pos_as_xyz
'x,y,z'
'-x,-y,-z'
'-x,y,-z'
'x,-y,z'
'x+1/2,y+1/2,z'
'-x+1/2,-y+1/2,-z'
'-x+1/2,y+1/2,-z'
'x+1/2,-y+1/2,z'
loop_
_atom_site_label
_atom_site_type_symbol
_atom_site_fract_x
_atom_site_fract_y
_atom_site_fract_z
_atom_site_occupancy
Ac1 Ac 0.2406 0.1671 0.2233 1
Ac2 Ac 0.2417 0.5000 0.2227 1
Ag1 Ag 0.0000 0.1663 0.5000 1
Pt1 Pt 0.0000 0.0000 0.0000 1
Pt2 Pt 0.0000 0.3326 0.0000 1